Record 1
Computed, not measured: a relaxed structure of AlCdW2 at the PBEsol level of DFT.

```
AlCdW2
1.0
0.000 3.175 3.175
3.175 0.000 3.175
3.175 3.175 0.000
Al Cd W
1 1 2
direct
0.000 0.000 0.000
0.500 0.500 0.500
0.250 0.250 0.250
0.750 0.750 0.750
```

Values from the calculation:
Crystal system ... cubic
Formation enthalpy at 0 K ... 0.775 eV/atom
Space group ... Fm-3m (225)
Distance to the lowest polymorph of the same formula ... 0.496 eV/atom


Record 2
Computed, not measured: a relaxed structure of BTeS3 at the PBEsol level of DFT.

```
BTeS3
1.0
4.225 0.000 0.000
0.000 4.225 0.000
0.000 0.000 4.225
B Te S
1 1 3
direct
0.000 0.000 0.000
0.500 0.500 0.500
0.000 0.000 0.500
0.000 0.500 0.000
0.500 0.000 0.000
```

Values from the calculation:
Crystal system ... cubic
Formation energy without anion corrections ... 452 meV/atom
Space group ... Pm-3m (221)
Distance to the lowest polymorph of the same formula ... 0.000 eV/atom


Record 3
Computed, not measured: a relaxed structure of CdGa3I at the PBEsol level of DFT.

```
CdGa3I
1.0
5.172 0.000 0.000
0.000 5.172 0.000
0.000 0.000 5.172
Cd Ga I
1 3 1
direct
0.000 0.000 0.000
0.000 0.000 0.500
0.000 0.500 0.000
0.500 0.000 0.000
0.500 0.500 0.500
```

Values from the calculation:
Crystal system ... cubic
Formation energy without anion corrections ... 236 meV/atom
Space group ... Pm-3m (221)


Record 4
Computed, not measured: a relaxed structure of Dy4Ge6Rh7 at the PBEsol level of DFT.

```
Dy4Ge6Rh7
1.0
-4.134 4.134 4.134
4.134 -4.134 4.134
4.134 4.134 -4.134
Dy Ge Rh
4 6 7
direct
0.000 0.000 0.500
0.000 0.500 0.000
0.500 0.000 0.000
0.500 0.500 0.500
0.000 0.320 0.320
0.000 0.680 0.680
0.320 0.000 0.320
0.320 0.320 0.000
0.680 0.000 0.680
0.680 0.680 0.000
0.000 0.000 0.000
0.250 0.500 0.750
0.250 0.750 0.500
0.500 0.250 0.750
0.500 0.750 0.250
0.750 0.250 0.500
0.750 0.500 0.250
```

Values from the calculation:
Crystal system ... cubic
Formation enthalpy at 0 K ... -0.984 eV/atom
Space group ... Im-3m (229)


| no. | VASP energy (eV per atom) |
| --- | --- |
| 1 | -7.45 |
| 2 | -4.29 |
| 3 | -2.36 |
| 4 | -7.25 |